{"formula": "HgOsCl2", "functional": "PBE", "state": "optimized geometry", "lattice_angstrom": [[2.7518, -5.5736, 0.0000], [2.7518, 5.5736, 0.0000], [0.0000, 0.0000, 3.6222]], "species": ["Hg", "Os", "Cl", "Cl"], "frac_coords": [[0.0000, 0.0000, 0.0000], [0.5000, 0.5000, 0.0000], [0.3653, 0.6347, 0.5000], [0.6347, 0.3653, 0.5000]], "dos_ef_per_ev_fu": 3.46, "e_tot_ev_per_atom": -3.724, "formation_energy_uncorrected_ev_per_fu": 0.33, "de_polymorph_ev_per_atom": 0.000, "spacegroup": "Cmmm (65)"}

{"formula": "HgOsCl2", "functional": "PBE", "state": "optimized geometry", "lattice_angstrom": [[-1.4963, 2.5251, 6.5433], [1.4963, -2.5251, 6.5433], [1.4963, 2.5251, -6.5433]], "species": ["Hg", "Os", "Cl", "Cl"], "frac_coords": [[0.0000, 0.0000, 0.0000], [0.5000, 0.5000, 0.0000], [0.3544, 0.8544, 0.5000], [0.6456, 0.1456, 0.5000]], "dos_ef_per_ev_fu": 2.86, "e_tot_ev_per_atom": -3.610, "formation_energy_uncorrected_ev_per_fu": 0.78, "de_polymorph_ev_per_atom": 0.114, "spacegroup": "Immm (71)"}

{"formula": "HgOsCl2", "functional": "PBE", "state": "optimized geometry", "lattice_angstrom": [[2.9962, -4.5515, 0.0000], [2.9962, 4.5515, 0.0000], [-1.1979, 0.0000, 2.8290]], "species": ["Hg", "Os", "Cl", "Cl"], "frac_coords": [[0.0000, 0.0000, 0.0000], [0.5000, 0.5000, 0.0000], [0.0000, 0.5000, 0.0000], [0.5000, 0.0000, 0.0000]], "dos_ef_per_ev_fu": 3.38, "e_tot_ev_per_atom": -2.870, "formation_energy_uncorrected_ev_per_fu": 3.75, "de_polymorph_ev_per_atom": 0.854, "spacegroup": "C2/m (12)"}

{"formula": "Hg4OsCl", "functional": "PBE", "state": "optimized geometry", "lattice_angstrom": [[0.0000, 4.1300, 4.1300], [4.1300, 0.0000, 4.1300], [4.1300, 4.1300, 0.0000]], "species": ["Hg", "Hg", "Hg", "Hg", "Os", "Cl"], "frac_coords": [[0.1247, 0.1247, 0.1247], [0.1247, 0.1247, 0.6259], [0.1247, 0.6259, 0.1247], [0.6259, 0.1247, 0.1247], [0.7500, 0.7500, 0.7500], [0.5000, 0.5000, 0.5000]], "dos_ef_per_ev_fu": 5.92, "e_tot_ev_per_atom": -1.415, "formation_energy_uncorrected_ev_per_fu": 5.79, "spacegroup": "F-43m (216)"}